1.
{
  "formula": "TaSnBSb2",
  "functional": "PBEsol",
  "state": "optimized geometry",
  "dft_energy_ev_per_atom": -5.8550,
  "density_kg_m3": 8830,
  "dos_ef_per_ev_atom": 0.994,
  "e_form_raw_ev_per_atom": 0.7333,
  "cell": [[4.8570, 0.0000, 0.0000], [0.0000, 4.8570, 0.0000], [0.0000, 0.0000, 4.4163]],
  "species": ["Ta", "Sn", "B", "Sb", "Sb"],
  "fractional_positions": [[0.0000, 0.0000, 0.0000], [0.5000, 0.5000, 0.0000], [0.0000, 0.0000, 0.5000], [0.0000, 0.5000, 0.5000], [0.5000, 0.0000, 0.5000]]
}

---

2.
{
  "formula": "LaSc2Te",
  "functional": "PBEsol",
  "state": "optimized geometry",
  "dft_energy_ev_per_atom": -6.0297,
  "density_kg_m3": 5568,
  "dos_ef_per_ev_atom": 1.174,
  "e_form_raw_ev_per_atom": -0.5090,
  "cell": [[10.9993, 0.0000, 0.0000], [0.0000, 3.6915, 0.0000], [-2.8523, 0.0000, 5.2358]],
  "species": ["La", "La", "Sc", "Sc", "Sc", "Sc", "Te", "Te"],
  "fractional_positions": [[0.0000, 0.0000, 0.0000], [0.5000, 0.5000, 0.0000], [0.2077, 0.0000, 0.8103], [0.4325, 0.0000, 0.4345], [0.7077, 0.5000, 0.8103], [0.9325, 0.5000, 0.4345], [0.2224, 0.5000, 0.4488], [0.7224, 0.0000, 0.4488]]
}

---

Question: Number 1 is which compound?
Answer: TaSnBSb2

---

Question: What is the formula in the second record?
Answer: LaSc2Te